# GGA+U Sm3WCl2O6, optimized geometry
data_Sm3WCl2O6
_space_group_name_H-M_alt 'P 1'
_space_group_IT_number 1
_cell_length_a 6.817
_cell_length_b 6.817
_cell_length_c 5.562
_cell_angle_alpha 97.69
_cell_angle_beta 97.69
_cell_angle_gamma 56.19
loop_
_space_group_symop_operation_xyz
'x,y,z'
loop_
_atom_site_label
_atom_site_type_symbol
_atom_site_fract_x
_atom_site_fract_y
_atom_site_fract_z
_atom_site_occupancy
Sm1 Sm 0.000 0.000 0.000 1
Sm2 Sm 0.000 0.500 0.500 1
Sm3 Sm 0.500 0.000 0.500 1
W1 W 0.500 0.500 0.500 1
Cl1 Cl 0.207 0.207 0.875 1
Cl2 Cl 0.793 0.793 0.125 1
O1 O 0.215 0.672 0.700 1
O2 O 0.328 0.785 0.300 1
O3 O 0.350 0.350 0.322 1
O4 O 0.650 0.650 0.678 1
O5 O 0.672 0.215 0.700 1
O6 O 0.785 0.328 0.300 1
# total moment = 0.00 Bohr magnetons per cell
# final energy = -7.027 eV per atom